(1)
Density functional theory data (PBE-GGA) for an optimized crystal structure of BaAcGePb.

The structure belongs to space group F-43m (No. 216); the cell edges are 8.216, 8.216 and 8.216 Å and the angles 90.00°, 90.00° and 90.00°. Symmetry generates all atoms from Ba at (0.000, 0.000, 0.000), Ac at (0.000, 0.000, 0.500), Ge at (0.250, 0.250, 0.250) and Pb at (0.250, 0.250, 0.750).

Its raw total energy is -3.976 eV/atom. The calculation puts the energy of formation at -387 meV/atom.

---

(2)
Density functional theory data (PBE-GGA) for an optimized crystal structure of BaAcGePd.

The structure belongs to space group F-43m (No. 216); the cell edges are 7.821, 7.821 and 7.821 Å and the angles 90.00°, 90.00° and 90.00°. Symmetry generates all atoms from Ba at (0.000, 0.000, 0.000), Ac at (0.000, 0.000, 0.500), Ge at (0.250, 0.250, 0.750) and Pd at (0.250, 0.250, 0.250).

Its raw total energy is -4.465 eV/atom. The calculation puts the energy of formation at -504 meV/atom.

---

(3)
Density functional theory data (PBE-GGA) for an optimized crystal structure of BaAcGe2Pd5.

The structure belongs to space group P4/mmm (No. 123); the cell edges are 4.633, 4.633 and 8.862 Å and the angles 90.00°, 90.00° and 90.00°. Symmetry generates all atoms from Ba at (0.000, 0.000, 0.000), Ac at (0.000, 0.000, 0.500), Ge at (0.500, 0.500, 0.345), Pd at (0.000, 0.500, 0.238) and Pd at (0.500, 0.500, 0.000).

Its raw total energy is -5.213 eV/atom. The calculation puts the energy of formation at -632 meV/atom.

---

(4)
Density functional theory data (PBE-GGA) for an optimized crystal structure of BaAcGePt.

The structure belongs to space group F-43m (No. 216); the cell edges are 7.778, 7.778 and 7.778 Å and the angles 90.00°, 90.00° and 90.00°. Symmetry generates all atoms from Ba at (0.000, 0.000, 0.000), Ac at (0.000, 0.000, 0.500), Ge at (0.250, 0.250, 0.750) and Pt at (0.250, 0.250, 0.250).

Its raw total energy is -4.769 eV/atom. The calculation puts the energy of formation at -597 meV/atom.

---

(5)
Density functional theory data (PBE-GGA) for an optimized crystal structure of Ba2AcGeS5.

The structure belongs to space group Cmc2_1 (No. 36); the cell edges are 4.436, 18.448 and 12.998 Å and the angles 90.00°, 90.00° and 90.00°. Symmetry generates all atoms from Ba at (0.000, 0.115, 0.000), Ba at (0.000, 0.123, 0.655), Ac at (0.000, 0.197, 0.347), Ge at (0.000, 0.453, 0.741), S at (0.000, 0.030, 0.312), S at (0.000, 0.298, 0.996), S at (0.000, 0.329, 0.688), S at (0.000, 0.352, 0.328) and S at (0.000, 0.496, 0.083).

Its raw total energy is -5.324 eV/atom. The value obtained for the formation energy without anion corrections is -1.634 eV per atom.

---

(6)
Density functional theory data (PBE-GGA) for an optimized crystal structure of BaAcSiGe.

The structure belongs to space group F-43m (No. 216); the cell edges are 7.882, 7.882 and 7.882 Å and the angles 90.00°, 90.00° and 90.00°. Symmetry generates all atoms from Ba at (0.000, 0.000, 0.000), Ac at (0.000, 0.000, 0.500), Si at (0.250, 0.250, 0.250) and Ge at (0.250, 0.250, 0.750).

Its raw total energy is -4.286 eV/atom. The value obtained for the formation energy without anion corrections is -0.268 eV per atom.

---

(7)
Density functional theory data (PBE-GGA) for an optimized crystal structure of BaAcZn2Ge2.

The structure belongs to space group P-3m1 (No. 164); the cell edges are 4.4150, 4.4150 and 9.5203 Å and the angles 90.00°, 90.00° and 120.00°. Symmetry generates all atoms from Ba at (0.0000, 0.0000, 0.0000), Ac at (0.0000, 0.0000, 0.5000), Zn at (0.3333, 0.6667, 0.2670) and Ge at (0.3333, 0.6667, 0.7371).

Its raw total energy is -3.528 eV/atom. The calculation puts the energy of formation at -559 meV/atom.

---

(8)
Density functional theory data (PBE-GGA) for an optimized crystal structure of BaAc2Zn2Ge2.

The structure belongs to space group R-3m (No. 166, hexagonal axes); the cell edges are 4.3609, 4.3609 and 39.3515 Å and the angles 90.00°, 90.00° and 120.00°. Symmetry generates all atoms from Ba at (0.0000, 0.0000, 0.0000), Ac at (0.0000, 0.0000, 0.1212), Zn at (0.0000, 0.0000, 0.3993) and Ge at (0.0000, 0.0000, 0.2694).

Its raw total energy is -3.547 eV/atom. The calculation puts the energy of formation at -416 meV/atom.